No. 1
4
Lattice="-4.991 -2.087 1.667 -0.261 -5.098 2.446 -1.185 -0.435 5.518" Properties=species:S:1:pos:R:3 comment="SrCeMgPb | Alexandria via LeMat-Bulk | GGA-PBE | optimized geometry" energy_ev_per_fu=-13.7 crystal_system=cubic sg="F-43m, No. 216" formation_energy_ev_per_atom=-0.19 m_tot_mub_per_cell=1.63 pbc="T T T"
Pb -3.218 -3.810 4.815
Sr -1.609 -1.905 2.408
Mg 0.000 0.000 0.000
Ce -4.827 -5.715 7.223

---

No. 2
8
Lattice="6.041 0.000 0.000 0.000 6.041 0.000 3.020 3.020 3.216" Properties=species:S:1:pos:R:3 comment="Nb2HW | Alexandria via LeMat-Bulk | GGA-PBE | optimized geometry" energy_ev_per_fu=-34.8 relative_energy_mev_per_atom=237 crystal_system=tetragonal sg="I-42d, No. 122" m_tot_mub_per_cell=0.00 pbc="T T T"
H 3.020 3.020 0.000
H 3.020 6.041 1.608
Nb 4.016 1.510 0.804
Nb 2.025 4.531 0.804
Nb 4.531 5.045 2.412
Nb 7.551 7.036 2.412
W 0.000 0.000 0.000
W 6.041 3.020 1.608